(1)
# PBE ScTe2Mo, optimized geometry
# **M_tot**: 0.23 μB/atom
# **Crystal system**: cubic
# **Total DFT energy (no corrections)**: -6.1065 eV per atom
# **Raw formation energy**: -245 meV/atom
# **E above lowest polymorph**: 0.2078 eV per atom
data_ScTe2Mo
_chemical_formula_sum 'Sc4 Te8 Mo4'
_cell_length_a 6.929
_cell_length_b 6.929
_cell_length_c 6.929
_cell_angle_alpha 90.00
_cell_angle_beta 90.00
_cell_angle_gamma 90.00
_space_group_name_H-M_alt 'F m -3 m'
_space_group_IT_number 225
_space_group_name_Hall '-F 4 2 3'
loop_
_atom_site_label
_atom_site_type_symbol
_atom_site_fract_x
_atom_site_fract_y
_atom_site_fract_z
Sc1 Sc 0.000 0.000 0.000
Te1 Te 0.250 0.250 0.250
Mo1 Mo 0.000 0.000 0.500



(2)
# PBE ScTe2Mo, optimized geometry
# **M_tot**: 0.00 μB/atom
# **Crystal system**: monoclinic
# **Total DFT energy (no corrections)**: -6.0758 eV per atom
# **Raw formation energy**: -214 meV/atom
# **E above lowest polymorph**: 0.2385 eV per atom
data_ScTe2Mo
_chemical_formula_sum 'Sc2 Te4 Mo2'
_cell_length_a 8.202
_cell_length_b 3.646
_cell_length_c 6.198
_cell_angle_alpha 90.00
_cell_angle_beta 104.30
_cell_angle_gamma 90.00
_space_group_name_H-M_alt 'C 1 2/m 1'
_space_group_IT_number 12
loop_
_space_group_symop_operation_xyz
'x,y,z'
'-x,-y,-z'
'-x,y,-z'
'x,-y,z'
'x+1/2,y+1/2,z'
'-x+1/2,-y+1/2,-z'
'-x+1/2,y+1/2,-z'
'x+1/2,-y+1/2,z'
loop_
_atom_site_label
_atom_site_type_symbol
_atom_site_fract_x
_atom_site_fract_y
_atom_site_fract_z
Sc1 Sc 0.000 0.000 0.000
Te1 Te 0.244 0.000 0.725
Mo1 Mo 0.000 0.500 0.500



Which of these has the lowest raw formation energy? number 1



Which of these has the lowest total DFT energy (no corrections)? number 1



M_tot of number 2 (ScTe2Mo)? 0.00 μB/atom